DFT (GGA-PBE) results for a relaxed Pa6GeP2Se3 crystal.

Lattice parameters (Å, degrees): 4.084 8.031 9.091 103.85 102.98 90.00
Positions (direct):
Ge (0.500, 0.000, 0.000)
Pa (0.993, 0.747, 0.987)
Pa (0.332, 0.902, 0.665)
Pa (0.007, 0.253, 0.013)
Pa (0.668, 0.098, 0.335)
Pa (0.670, 0.573, 0.340)
Pa (0.330, 0.427, 0.660)
Se (0.500, 0.500, 0.000)
Se (0.163, 0.833, 0.327)
Se (0.837, 0.167, 0.673)
P (0.168, 0.335, 0.336)
P (0.832, 0.665, 0.664)

Calculated total energy: -8.060 eV/atom
E_form (uncorrected): -1.15 eV/atom